No. 1
VASP calculation (PBE-GGA) on a relaxed structure of NdTmCuNi.

Unit cell a=4.893 b=4.893 c=4.893 alpha=60.00 beta=60.00 gamma=60.00
Sites, in units of the cell vectors:
1 Nd 0.000 0.000 0.000
2 Tm 0.500 0.500 0.500
3 Cu 0.250 0.250 0.250
4 Ni 0.750 0.750 0.750

Properties
For the total energy, the calculation gives -5.052 eV/atom. The density of states at the Fermi level comes out at 2.144 states/eV per cell. As for the energy above the most stable polymorph in this dataset: 34 meV per atom.


No. 2
VASP calculation (PBE-GGA) on a relaxed structure of NdTmCuNi.

Unit cell a=4.423 b=5.482 c=5.482 alpha=40.14 beta=90.00 gamma=90.00
Sites, in units of the cell vectors:
1 Nd 0.000 0.000 0.000
2 Tm 0.500 0.279 0.279
3 Cu 0.500 0.574 0.574
4 Ni 0.000 0.716 0.716

Properties
For the total energy, the calculation gives -5.085 eV/atom. The density of states at the Fermi level comes out at 3.207 states/eV per cell. As for the energy above the most stable polymorph in this dataset: 0 meV per atom.


No. 3
VASP calculation (PBE-GGA) on a relaxed structure of NdYCuNi.

Unit cell a=4.411 b=5.601 c=5.601 alpha=39.53 beta=90.00 gamma=90.00
Sites, in units of the cell vectors:
1 Nd 0.000 0.000 0.000
2 Y 0.500 0.724 0.724
3 Cu 0.000 0.289 0.289
4 Ni 0.500 0.427 0.427

Properties
For the total energy, the calculation gives -5.572 eV/atom. The density of states at the Fermi level comes out at 3.234 states/eV per cell. As for the energy above the most stable polymorph in this dataset: 0 meV per atom.


No. 4
VASP calculation (PBE-GGA) on a relaxed structure of NdYCuNi.

Unit cell a=4.939 b=4.939 c=4.939 alpha=60.00 beta=60.00 gamma=60.00
Sites, in units of the cell vectors:
1 Nd 0.000 0.000 0.000
2 Y 0.500 0.500 0.500
3 Cu 0.250 0.250 0.250
4 Ni 0.750 0.750 0.750

Properties
For the total energy, the calculation gives -5.519 eV/atom. The density of states at the Fermi level comes out at 2.471 states/eV per cell. As for the energy above the most stable polymorph in this dataset: 53 meV per atom.


No. 5
VASP calculation (PBE-GGA) on a relaxed structure of NdZn5CuNi2.

Unit cell a=4.626 b=4.626 c=7.009 alpha=90.00 beta=90.00 gamma=90.00
Sites, in units of the cell vectors:
1 Nd 0.000 0.000 0.000
2 Zn 0.000 0.500 0.308
3 Zn 0.000 0.500 0.692
4 Zn 0.500 0.000 0.308
5 Zn 0.500 0.000 0.692
6 Zn 0.500 0.500 0.000
7 Cu 0.000 0.000 0.500
8 Ni 0.500 0.500 0.332
9 Ni 0.500 0.500 0.668

Properties
For the total energy, the calculation gives -3.058 eV/atom. The density of states at the Fermi level comes out at 4.414 states/eV per cell.


No. 6
VASP calculation (PBE-GGA) on a relaxed structure of NdZnCuNi3.

Unit cell a=7.336 b=7.336 c=5.384 alpha=90.00 beta=90.00 gamma=139.20
Sites, in units of the cell vectors:
1 Nd 0.190 0.810 0.750
2 Nd 0.810 0.190 0.250
3 Zn 0.120 0.880 0.250
4 Zn 0.880 0.120 0.750
5 Cu 0.390 0.610 0.750
6 Cu 0.610 0.390 0.250
7 Ni 0.244 0.244 0.000
8 Ni 0.244 0.244 0.500
9 Ni 0.378 0.622 0.250
10 Ni 0.622 0.378 0.750
11 Ni 0.756 0.756 0.000
12 Ni 0.756 0.756 0.500

Properties
For the total energy, the calculation gives -4.628 eV/atom. The density of states at the Fermi level comes out at 9.687 states/eV per cell.


No. 7
VASP calculation (PBE-GGA) on a relaxed structure of NdZnCu2Ni2.

Unit cell a=4.391 b=4.391 c=5.427 alpha=90.00 beta=90.00 gamma=90.00
Sites, in units of the cell vectors:
1 Nd 0.000 0.000 0.000
2 Zn 0.000 0.000 0.500
3 Cu 0.500 0.500 0.251
4 Cu 0.500 0.500 0.749
5 Ni 0.000 0.500 0.500
6 Ni 0.500 0.000 0.500

Properties
For the total energy, the calculation gives -4.105 eV/atom. The density of states at the Fermi level comes out at 4.418 states/eV per cell.


No. 8
VASP calculation (PBE-GGA) on a relaxed structure of Nd2Zn3Cu12Ni.

Unit cell a=9.570 b=9.570 c=9.570 alpha=37.70 beta=37.70 gamma=37.70
Sites, in units of the cell vectors:
1 Nd 0.152 0.152 0.152
2 Nd 0.848 0.848 0.848
3 Zn 0.000 0.500 0.500
4 Zn 0.500 0.000 0.500
5 Zn 0.500 0.500 0.000
6 Cu 0.080 0.080 0.690
7 Cu 0.080 0.690 0.080
8 Cu 0.151 0.569 0.569
9 Cu 0.310 0.920 0.920
10 Cu 0.431 0.431 0.849
11 Cu 0.431 0.849 0.431
12 Cu 0.569 0.151 0.569
13 Cu 0.569 0.569 0.151
14 Cu 0.690 0.080 0.080
15 Cu 0.849 0.431 0.431
16 Cu 0.920 0.310 0.920
17 Cu 0.920 0.920 0.310
18 Ni 0.500 0.500 0.500

Properties
For the total energy, the calculation gives -3.669 eV/atom. The density of states at the Fermi level comes out at 7.503 states/eV per cell.


No. 9
VASP calculation (PBE-GGA) on a relaxed structure of Nd2Zn2Cu5Ni.

Unit cell a=10.156 b=10.156 c=3.238 alpha=90.00 beta=90.00 gamma=90.00
Sites, in units of the cell vectors:
1 Nd 0.176 0.324 0.000
2 Nd 0.324 0.824 0.000
3 Nd 0.676 0.176 0.000
4 Nd 0.824 0.676 0.000
5 Zn 0.126 0.626 0.000
6 Zn 0.374 0.126 0.000
7 Zn 0.626 0.874 0.000
8 Zn 0.874 0.374 0.000
9 Cu 0.000 0.500 0.500
10 Cu 0.053 0.819 0.500
11 Cu 0.181 0.053 0.500
12 Cu 0.319 0.553 0.500
13 Cu 0.447 0.319 0.500
14 Cu 0.500 0.000 0.500
15 Cu 0.553 0.681 0.500
16 Cu 0.681 0.447 0.500
17 Cu 0.819 0.947 0.500
18 Cu 0.947 0.181 0.500
19 Ni 0.000 0.000 0.000
20 Ni 0.500 0.500 0.000

Properties
For the total energy, the calculation gives -3.854 eV/atom. The density of states at the Fermi level comes out at 11.010 states/eV per cell.


No. 10
VASP calculation (PBE-GGA) on a relaxed structure of NdZn6CuNi.

Unit cell a=8.345 b=8.345 c=8.345 alpha=131.64 beta=119.44 gamma=81.03
Sites, in units of the cell vectors:
1 Nd 0.384 0.134 0.250
2 Nd 0.616 0.866 0.750
3 Zn 0.139 0.889 0.250
4 Zn 0.140 0.455 0.291
5 Zn 0.140 0.849 0.685
6 Zn 0.336 0.151 0.791
7 Zn 0.336 0.545 0.185
8 Zn 0.343 0.593 0.750
9 Zn 0.657 0.407 0.250
10 Zn 0.664 0.455 0.815
11 Zn 0.664 0.849 0.209
12 Zn 0.860 0.151 0.315
13 Zn 0.860 0.545 0.709
14 Zn 0.861 0.111 0.750
15 Cu 0.000 0.000 0.500
16 Cu 0.000 0.500 0.000
17 Ni 0.000 0.500 0.500
18 Ni 0.500 0.500 0.000

Properties
For the total energy, the calculation gives -2.287 eV/atom. The density of states at the Fermi level comes out at 10.190 states/eV per cell.


No. 11
VASP calculation (PBE-GGA) on a relaxed structure of NdZn2CuNi.

Unit cell a=6.258 b=6.258 c=6.258 alpha=144.47 beta=141.85 gamma=53.11
Sites, in units of the cell vectors:
1 Nd 0.000 0.000 0.000
2 Zn 0.376 0.376 0.000
3 Zn 0.737 0.237 0.500
4 Cu 0.228 0.728 0.500
5 Ni 0.595 0.595 0.000

Properties
For the total energy, the calculation gives -3.695 eV/atom. The density of states at the Fermi level comes out at 2.125 states/eV per cell.


No. 12
VASP calculation (PBE-GGA) on a relaxed structure of NdZn2CuNi4.

Unit cell a=8.459 b=8.459 c=8.459 alpha=27.90 beta=27.90 gamma=27.90
Sites, in units of the cell vectors:
1 Nd 0.000 0.000 0.000
2 Zn 0.234 0.234 0.234
3 Zn 0.766 0.766 0.766
4 Cu 0.500 0.500 0.500
5 Ni 0.127 0.127 0.127
6 Ni 0.404 0.404 0.404
7 Ni 0.596 0.596 0.596
8 Ni 0.873 0.873 0.873

Properties
For the total energy, the calculation gives -4.490 eV/atom. The density of states at the Fermi level comes out at 4.402 states/eV per cell.


No. 13
VASP calculation (PBE-GGA) on a relaxed structure of NdNpCuO6.

Unit cell a=5.796 b=5.796 c=4.406 alpha=90.00 beta=90.00 gamma=120.00
Sites, in units of the cell vectors:
1 Nd 0.000 0.000 0.000
2 Np 0.333 0.667 0.000
3 Cu 0.667 0.333 0.500
4 O 0.027 0.374 0.240
5 O 0.027 0.652 0.760
6 O 0.348 0.374 0.760
7 O 0.348 0.973 0.240
8 O 0.626 0.652 0.240
9 O 0.626 0.973 0.760

Properties
For the total energy, the calculation gives -7.800 eV/atom. The density of states at the Fermi level comes out at 4.480 states/eV per cell. Its formation energy (no corrections) is -2.072 eV/atom.


No. 14
VASP calculation (PBE-GGA) on a relaxed structure of NdNp2CuS5.

Unit cell a=8.564 b=8.564 c=11.779 alpha=90.00 beta=90.00 gamma=154.23
Sites, in units of the cell vectors:
1 Nd 0.180 0.820 0.500
2 Nd 0.820 0.180 0.000
3 Np 0.109 0.891 0.819
4 Np 0.114 0.886 0.162
5 Np 0.886 0.114 0.662
6 Np 0.891 0.109 0.319
7 Cu 0.452 0.548 0.893
8 Cu 0.548 0.452 0.393
9 S 0.009 0.991 0.486
10 S 0.301 0.699 0.173
11 S 0.322 0.678 0.823
12 S 0.348 0.652 0.490
13 S 0.492 0.508 0.218
14 S 0.508 0.492 0.718
15 S 0.652 0.348 0.990
16 S 0.678 0.322 0.323
17 S 0.699 0.301 0.673
18 S 0.991 0.009 0.986

Properties
For the total energy, the calculation gives -7.495 eV/atom. The density of states at the Fermi level comes out at 33.812 states/eV per cell. Its formation energy (no corrections) is -1.341 eV/atom.


No. 15
VASP calculation (PBE-GGA) on a relaxed structure of Nd3CuO.

Unit cell a=4.894 b=4.894 c=4.894 alpha=90.00 beta=90.00 gamma=90.00
Sites, in units of the cell vectors:
1 Nd 0.000 0.000 0.500
2 Nd 0.000 0.500 0.000
3 Nd 0.500 0.000 0.000
4 Cu 0.500 0.500 0.500
5 O 0.000 0.000 0.000

Properties
For the total energy, the calculation gives -5.721 eV/atom. The density of states at the Fermi level comes out at 3.586 states/eV per cell. Its formation energy (no corrections) is -1.049 eV/atom.


No. 16
VASP calculation (PBE-GGA) on a relaxed structure of Nd4CuO7.

Unit cell a=6.857 b=6.857 c=9.166 alpha=130.81 beta=130.81 gamma=34.05
Sites, in units of the cell vectors:
1 Nd 0.085 0.085 0.390
2 Nd 0.245 0.245 0.154
3 Nd 0.755 0.755 0.846
4 Nd 0.915 0.915 0.610
5 Cu 0.500 0.500 0.000
6 O 0.000 0.000 0.000
7 O 0.133 0.133 0.698
8 O 0.296 0.296 0.446
9 O 0.413 0.413 0.105
10 O 0.587 0.587 0.895
11 O 0.704 0.704 0.554
12 O 0.867 0.867 0.302

Properties
For the total energy, the calculation gives -7.709 eV/atom. The density of states at the Fermi level comes out at 1.354 states/eV per cell. Its formation energy (no corrections) is -2.886 eV/atom.


No. 17
VASP calculation (PBE-GGA) on a relaxed structure of Nd12Cu3O5.

Unit cell a=13.669 b=13.669 c=13.669 alpha=109.47 beta=109.47 gamma=109.47
Sites, in units of the cell vectors:
1 Nd 0.019 0.204 0.114
2 Nd 0.019 0.315 0.906
3 Nd 0.091 0.704 0.685
4 Nd 0.091 0.886 0.406
5 Nd 0.094 0.614 0.409
6 Nd 0.094 0.981 0.685
7 Nd 0.114 0.019 0.204
8 Nd 0.114 0.594 0.909
9 Nd 0.185 0.204 0.591
10 Nd 0.185 0.481 0.594
11 Nd 0.204 0.114 0.019
12 Nd 0.204 0.591 0.185
13 Nd 0.296 0.315 0.909
14 Nd 0.296 0.481 0.386
15 Nd 0.315 0.906 0.019
16 Nd 0.315 0.909 0.296
17 Nd 0.386 0.296 0.481
18 Nd 0.386 0.591 0.906
19 Nd 0.406 0.091 0.886
20 Nd 0.406 0.815 0.519
21 Nd 0.409 0.094 0.614
22 Nd 0.409 0.815 0.796
23 Nd 0.481 0.386 0.296
24 Nd 0.481 0.594 0.185
25 Nd 0.519 0.406 0.815
26 Nd 0.519 0.614 0.704
27 Nd 0.591 0.185 0.204
28 Nd 0.591 0.906 0.386
29 Nd 0.594 0.185 0.481
30 Nd 0.594 0.909 0.114
31 Nd 0.614 0.409 0.094
32 Nd 0.614 0.704 0.519
33 Nd 0.685 0.091 0.704
34 Nd 0.685 0.094 0.981
35 Nd 0.704 0.519 0.614
36 Nd 0.704 0.685 0.091
37 Nd 0.796 0.409 0.815
38 Nd 0.796 0.886 0.981
39 Nd 0.815 0.519 0.406
40 Nd 0.815 0.796 0.409
41 Nd 0.886 0.406 0.091
42 Nd 0.886 0.981 0.796
43 Nd 0.906 0.019 0.315
44 Nd 0.906 0.386 0.591
45 Nd 0.909 0.114 0.594
46 Nd 0.909 0.296 0.315
47 Nd 0.981 0.685 0.094
48 Nd 0.981 0.796 0.886
49 Cu 0.125 0.250 0.375
50 Cu 0.125 0.375 0.750
51 Cu 0.250 0.375 0.125
52 Cu 0.250 0.875 0.625
53 Cu 0.375 0.125 0.250
54 Cu 0.375 0.750 0.125
55 Cu 0.625 0.250 0.875
56 Cu 0.625 0.875 0.750
57 Cu 0.750 0.125 0.375
58 Cu 0.750 0.625 0.875
59 Cu 0.875 0.625 0.250
60 Cu 0.875 0.750 0.625
61 O 0.000 0.000 0.000
62 O 0.000 0.000 0.500
63 O 0.000 0.500 0.000
64 O 0.000 0.500 0.500
65 O 0.125 0.750 0.875
66 O 0.125 0.875 0.250
67 O 0.250 0.125 0.875
68 O 0.250 0.625 0.375
69 O 0.375 0.250 0.625
70 O 0.375 0.625 0.750
71 O 0.500 0.000 0.000
72 O 0.500 0.000 0.500
73 O 0.500 0.500 0.000
74 O 0.500 0.500 0.500
75 O 0.625 0.375 0.250
76 O 0.625 0.750 0.375
77 O 0.750 0.375 0.625
78 O 0.750 0.875 0.125
79 O 0.875 0.125 0.750
80 O 0.875 0.250 0.125

Properties
For the total energy, the calculation gives -6.064 eV/atom. The density of states at the Fermi level comes out at 63.650 states/eV per cell. Its formation energy (no corrections) is -1.349 eV/atom.


No. 18
VASP calculation (PBE-GGA) on a relaxed structure of NdCu2O4.

Unit cell a=3.806 b=3.806 c=6.381 alpha=101.41 beta=101.41 gamma=89.68
Sites, in units of the cell vectors:
1 Nd 0.000 0.000 0.000
2 Cu 0.390 0.390 0.685
3 Cu 0.610 0.610 0.315
4 O 0.085 0.581 0.248
5 O 0.419 0.915 0.752
6 O 0.581 0.085 0.248
7 O 0.915 0.419 0.752

Properties
For the total energy, the calculation gives -6.095 eV/atom. The density of states at the Fermi level comes out at 1.885 states/eV per cell. Its formation energy (no corrections) is -1.410 eV/atom. As for the energy above the most stable polymorph in this dataset: 208 meV per atom.


No. 19
VASP calculation (PBE-GGA) on a relaxed structure of NdCuO.

Unit cell a=7.755 b=7.755 c=7.755 alpha=30.35 beta=30.35 gamma=30.35
Sites, in units of the cell vectors:
1 Nd 0.099 0.099 0.099
2 Nd 0.901 0.901 0.901
3 Cu 0.334 0.334 0.334
4 Cu 0.666 0.666 0.666
5 O 0.208 0.208 0.208
6 O 0.792 0.792 0.792

Properties
For the total energy, the calculation gives -6.419 eV/atom. The density of states at the Fermi level comes out at 1.619 states/eV per cell. Its formation energy (no corrections) is -1.811 eV/atom.